# Sr2RuI

A geometry-optimized Sr2RuI structure (PBE, the Alexandria database).

a = 5.533 Å, b = 5.533 Å, c = 5.533 Å
α = 60.00°, β = 60.00°, γ = 60.00°
Positions (direct):
Sr 0.250 0.250 0.250
Sr 0.750 0.750 0.750
Ru 0.000 0.000 0.000
I 0.500 0.500 0.500

Summary:
calculated volume: 29.95 A^3/atom
energy: -3.52 eV per atom
distance to the lowest polymorph of the same formula: 0 meV/atom
density: 5.6 g/cm³
formation energy (no corrections): 0.025 eV per atom
SG: No. 225